# 1
The following is a PBE calculation of crystalline RbZn2GaS4 at its relaxed geometry, from the Alexandria database.

```
RbZn2GaS4
1.0
-5.7652 2.4959 -0.1837
-1.4529 -3.7133 -4.8581
2.0560 -2.7554 5.5568
Rb Zn Ga S
1 2 1 4
direct
0.0003 0.0003 0.0007
0.7500 0.2500 0.4999
0.2500 0.7500 0.4999
0.4998 0.4998 0.9997
0.5477 0.5477 0.6961
0.4526 0.8515 0.3041
0.8515 0.4526 0.3041
0.1483 0.1483 0.6961
```

Results
Raw formation energy = -0.74 eV per atom
Raw total energy = -28.94 eV per cell

=====

# 2
The following is a PBE calculation of crystalline Rb2ZrGaS4 at its relaxed geometry, from the Alexandria database.

```
Rb2ZrGaS4
1.0
-1.6880 -0.5299 -6.2170
3.0871 -6.0598 -3.6819
-10.3053 -6.9941 0.0339
Rb Zr Ga S
4 2 2 8
direct
0.1799 0.0000 0.6403
0.8201 0.0000 0.3597
0.5701 0.5000 0.8597
0.9299 0.5000 0.1403
0.7500 0.5000 0.5000
0.0000 0.0000 0.0000
0.2500 0.5000 0.5000
0.5000 0.0000 0.0000
0.2960 0.8137 0.1022
0.2120 0.1863 0.8978
0.8902 0.8137 0.8978
0.6017 0.1863 0.1022
0.4540 0.6863 0.3978
0.5380 0.3137 0.6022
0.8598 0.6863 0.6022
0.1483 0.3137 0.3978
```

Results
Density of states at the Fermi level = 0.327 states/eV per atom
Raw formation energy = -1.12 eV per atom
Raw total energy = -77.89 eV per cell

=====

# 3
The following is a PBE calculation of crystalline RbZrGaS4 at its relaxed geometry, from the Alexandria database.

```
RbZrGaS4
1.0
-5.4574 1.9530 2.5604
2.3163 -1.6541 6.1988
8.0545 6.1142 -1.3782
Rb Zr Ga S
2 2 2 8
direct
0.6611 0.7500 0.9378
0.3389 0.2500 0.0622
0.7813 0.7500 0.4565
0.2187 0.2500 0.5435
0.1964 0.7500 0.3489
0.8036 0.2500 0.6511
0.0828 0.4985 0.6837
0.9172 0.9985 0.3163
0.9172 0.5015 0.3163
0.0828 0.0015 0.6837
0.3414 0.7500 0.1912
0.6586 0.2500 0.8088
0.5463 0.7500 0.5911
0.4537 0.2500 0.4089
```

Results
Raw formation energy = -1.18 eV per atom
Raw total energy = -74.68 eV per cell